First-principles (PBE) data for an optimized crystal structure of PrNd8Sm3, as listed in Alexandria.

Unit cell a=6.3728 b=8.2295 c=13.2233 alpha=79.47 beta=108.70 gamma=49.59
With the nearest neighbours (Å) after each atom.
Sites, in units of the cell vectors:
Pr 0.1250 0.7475 0.6248  10 Nd 3.67-3.68, 2 Sm 3.69
Nd 0.7931 0.4132 0.9588  7 Nd 3.66-3.69, 4 Sm 3.66-3.69, 1 Pr 3.68
Nd 0.5413 0.9143 0.7081  7 Nd 3.67-3.69, 3 Sm 3.67-3.68, 2 Pr 3.67-3.68
Nd 0.9594 0.0804 0.7926  3 Sm 3.66-3.67, 7 Nd 3.66-3.69, 2 Pr 3.67-3.68
Nd 0.2906 0.4144 0.4569  3 Sm 3.66-3.68, 7 Nd 3.66-3.69, 2 Pr 3.67-3.68
Nd 0.7083 0.5806 0.5411  7 Nd 3.67-3.69, 3 Sm 3.67-3.68, 2 Pr 3.67-3.68
Nd 0.0412 0.9140 0.2075  7 Nd 3.65-3.68, 5 Sm 3.66-3.68
Nd 0.2081 0.5810 0.0418  7 Nd 3.65-3.68, 5 Sm 3.66-3.68
Nd 0.4569 0.0817 0.2908  7 Nd 3.66-3.68, 4 Sm 3.66-3.69, 1 Pr 3.68
Sm 0.3747 0.2468 0.8754  10 Nd 3.66-3.69, 1 Sm 3.67, 1 Pr 3.69
Sm 0.8748 0.2482 0.3739  10 Nd 3.66-3.69, 1 Sm 3.67, 1 Pr 3.69
Sm 0.6249 0.7474 0.1248  10 Nd 3.66-3.68, 2 Sm 3.67

Computed properties:
Calculated density = 6.896 Mg/m³
ΔE_f = 0.0115 eV/atom
Crystal system = triclinic